A relaxed BeTl4Se crystal, computed with PBE.

**Crystal system**: cubic
**Raw total energy**: -2.209 eV per atom

a = 6.393 Å, b = 6.393 Å, c = 6.393 Å
α = 60.00°, β = 60.00°, γ = 60.00°
Fractional coordinates of all 6 atoms:
Be 0.000 0.000 0.000
Tl 0.375 0.375 0.375
Tl 0.375 0.375 0.874
Tl 0.375 0.874 0.375
Tl 0.874 0.375 0.375
Se 0.750 0.750 0.750


A relaxed Mg2TcCl crystal, computed with PBE.

**Crystal system**: orthorhombic
**Raw total energy**: -3.779 eV per atom

a = 5.004 Å, b = 5.004 Å, c = 2.949 Å
α = 90.00°, β = 90.00°, γ = 105.90°
Fractional coordinates of all 4 atoms:
Mg 0.000 0.500 0.000
Mg 0.500 0.000 0.000
Tc 0.000 0.000 0.500
Cl 0.500 0.500 0.500


A relaxed RuSe3S crystal, computed with PBE.

**Crystal system**: cubic
**Raw total energy**: -4.072 eV per atom

a = 4.833 Å, b = 4.833 Å, c = 4.833 Å
α = 90.00°, β = 90.00°, γ = 90.00°
Fractional coordinates of all 5 atoms:
Ru 0.000 0.000 0.000
Se 0.000 0.000 0.500
Se 0.000 0.500 0.000
Se 0.500 0.000 0.000
S 0.500 0.500 0.500


A relaxed CaGe2SeF crystal, computed with PBE.

**Crystal system**: tetragonal
**Raw total energy**: -3.678 eV per atom

a = 5.689 Å, b = 5.689 Å, c = 4.122 Å
α = 90.00°, β = 90.00°, γ = 90.00°
Fractional coordinates of all 5 atoms:
Ca 0.000 0.000 0.000
Ge 0.000 0.500 0.000
Ge 0.500 0.000 0.000
Se 0.500 0.500 0.500
F 0.000 0.000 0.500


A relaxed Ti4BiN crystal, computed with PBE.

**Crystal system**: orthorhombic
**Raw total energy**: -7.958 eV per atom

a = 8.116 Å, b = 8.116 Å, c = 6.023 Å
α = 90.00°, β = 90.00°, γ = 149.81°
Fractional coordinates of all 12 atoms:
Ti 0.005 0.995 0.750
Ti 0.186 0.814 0.750
Ti 0.411 0.589 0.006
Ti 0.411 0.589 0.494
Ti 0.589 0.411 0.506
Ti 0.589 0.411 0.994
Ti 0.814 0.186 0.250
Ti 0.995 0.005 0.250
Bi 0.188 0.812 0.250
Bi 0.812 0.188 0.750
N 0.498 0.502 0.750
N 0.502 0.498 0.250


A relaxed Te2IrI crystal, computed with PBE.

**Crystal system**: trigonal
**Raw total energy**: -3.827 eV per atom

a = 9.371 Å, b = 9.371 Å, c = 9.371 Å
α = 23.22°, β = 23.22°, γ = 23.22°
Fractional coordinates of all 4 atoms:
Te 0.000 0.000 0.000
Te 0.447 0.447 0.447
Ir 0.280 0.280 0.280
I 0.877 0.877 0.877


| no. | DOS(E_F) (states/eV per cell) | magnetic moment (μB per atom) |
| --- | --- | --- |
| 1 | 3.6 | 0.000 |
| 2 | 3.1 | 0.121 |
| 3 | 8.5 | 0.000 |
| 4 | 3.6 | 0.197 |
| 5 | 7.9 | 0.000 |
| 6 | 5.0 | 0.000 |